Entry 1:
## Ga2SiH (PBE)

Data for crystalline Ga2SiH at its relaxed geometry.

Geometry as CIF:
```
data_Ga2SiH
_chemical_formula_sum 'Ga6 Si3 H3'
_cell_length_a 3.9622
_cell_length_b 3.9622
_cell_length_c 17.3108
_cell_angle_alpha 90.00
_cell_angle_beta 90.00
_cell_angle_gamma 120.00
_symmetry_space_group_name_H-M 'R -3 m'
_symmetry_Int_Tables_number 166
_symmetry_space_group_name_Hall '-R 3 2"'
loop_
_atom_site_label
_atom_site_type_symbol
_atom_site_fract_x
_atom_site_fract_y
_atom_site_fract_z
Ga1 Ga 0.0000 0.0000 0.1017
Si1 Si 0.0000 0.0000 0.5000
H1 H 0.0000 0.0000 0.0000
```

ΔE to the lowest computed polymorph = 0 meV per atom
Calculated total energy = -41.95 eV per cell
Density = 3.57 Mg/m³

Entry 2:
## GaSiH (PBE)

Data for crystalline GaSiH at its relaxed geometry.

Geometry as CIF:
```
data_GaSiH
_chemical_formula_sum 'Ga2 Si2 H2'
_cell_length_a 10.1082
_cell_length_b 3.2112
_cell_length_c 2.5816
_cell_angle_alpha 90.00
_cell_angle_beta 104.35
_cell_angle_gamma 90.00
_symmetry_space_group_name_H-M 'C 1 m 1'
_symmetry_Int_Tables_number 8
_symmetry_space_group_name_Hall 'C -2y'
loop_
_atom_site_label
_atom_site_type_symbol
_atom_site_fract_x
_atom_site_fract_y
_atom_site_fract_z
Ga1 Ga 0.0000 0.0000 0.0000
Si1 Si 0.2325 0.5000 0.2246
H1 H 0.2922 0.0000 0.2866
```

ΔE to the lowest computed polymorph = 164 meV per atom
Calculated total energy = -21.59 eV per cell
Density = 4.04 Mg/m³